VASP calculation (PBE) on crystalline Ca2ZnRh at its relaxed geometry.

## Properties
Formation energy = -50.6 kJ/mol of formula units
Final energy = -3.288 eV per atom
Symmetry = F-43m, No. 216

Cell lengths 4.9066, 4.9066, 4.9066 Å; angles 60.00, 60.00, 60.00 degrees
Closest atoms and distances in Å follow each position.
Fractional coordinates of all 4 atoms:
Zn 0.7500 0.7500 0.7500  4 Ca 3.00, 4 Rh 3.00
Rh 0.5000 0.5000 0.5000  4 Zn 3.00, 4 Ca 3.00
Ca 0.0000 0.0000 0.0000  4 Ca 3.00, 4 Zn 3.00
Ca 0.2500 0.2500 0.2500  4 Ca 3.00, 4 Rh 3.00

***

VASP calculation (PBE) on crystalline Ca2ZnRh at its relaxed geometry.

## Properties
Formation energy = 110.1 kJ/mol of formula units
Final energy = -2.872 eV per atom
Symmetry = I-42d, No. 122

Cell lengths 4.5973, 4.5973, 9.9669 Å; angles 76.67, 76.67, 90.00 degrees
Closest atoms and distances in Å follow each position.
Fractional coordinates of all 8 atoms:
Zn 0.5000 0.5000 0.0000  4 Ca 2.89
Zn 0.2500 0.7500 0.5000  4 Ca 2.89
Rh 0.0000 0.0000 0.0000  4 Ca 2.83
Rh 0.7500 0.2500 0.5000  4 Ca 2.83
Ca 0.6421 0.1250 0.2500  2 Rh 2.83, 2 Zn 2.89, 2 Ca 3.14
Ca 0.1079 0.6250 0.2500  2 Rh 2.83, 2 Zn 2.89, 2 Ca 3.14
Ca 0.3750 0.3579 0.7500  2 Rh 2.83, 2 Zn 2.89, 2 Ca 3.14
Ca 0.8750 0.8921 0.7500  2 Rh 2.83, 2 Zn 2.89, 2 Ca 3.14

***

VASP calculation (PBE) on crystalline Ca4Zn3Rh at its relaxed geometry.

## Properties
Formation energy = -250.8 kJ/mol of formula units
Final energy = -2.722 eV per atom
Symmetry = Pmm2, No. 25

Cell lengths 4.1702, 4.3931, 11.0836 Å; angles 90.00, 90.00, 90.00 degrees
Closest atoms and distances in Å follow each position.
Fractional coordinates of all 8 atoms:
Ca 0.5000 0.5000 0.3397  1 Rh 3.10, 6 Zn 3.21-3.24
Ca 0.0000 0.5000 0.8713  2 Rh 2.95, 4 Zn 3.13
Ca 0.0000 0.0000 0.1407  3 Zn 3.03-3.27, 4 Rh 3.16
Ca 0.5000 0.0000 0.6468  7 Zn 3.13-3.27
Rh 0.5000 0.5000 0.0602  2 Zn 2.56
Zn 0.0000 0.5000 0.5637  2 Zn 2.61
Zn 0.0000 0.0000 0.4358  2 Zn 2.61
Zn 0.5000 0.0000 0.9418  2 Rh 2.56

***

VASP calculation (PBE) on crystalline CaZnRh3 at its relaxed geometry.

## Properties
Polymorph energy (0 for the lowest one) = 0.00 eV per formula unit
Formation energy = 177.2 kJ/mol of formula units
Final energy = -4.699 eV per atom
Symmetry = Pm-3m, No. 221

Cell lengths 4.6339, 4.6339, 4.6339 Å; angles 90.00, 90.00, 90.00 degrees
Closest atoms and distances in Å follow each position.
Fractional coordinates of all 5 atoms:
Zn 0.0000 0.0000 0.0000  6 Rh 2.32
Rh 0.0000 0.5000 0.0000  2 Zn 2.32
Rh 0.0000 0.0000 0.5000  2 Zn 2.32
Rh 0.5000 0.0000 0.0000  2 Zn 2.32
Ca 0.5000 0.5000 0.5000  12 Rh 3.28

***

VASP calculation (PBE) on crystalline CaZn2Rh at its relaxed geometry.

## Properties
Formation energy = -119.9 kJ/mol of formula units
Final energy = -3.286 eV per atom
Symmetry = P2/m, No. 10

Cell lengths 3.7202, 3.0905, 6.9107 Å; angles 63.55, 90.00, 90.00 degrees
Closest atoms and distances in Å follow each position.
Fractional coordinates of all 4 atoms:
Zn 0.0000 0.0511 0.9481  1 Zn 2.45, 4 Rh 2.71
Zn 0.0000 0.4489 0.5519  1 Zn 2.45, 4 Rh 2.71
Rh 0.5000 0.7500 0.7500  8 Zn 2.71
Ca 0.5000 0.2500 0.2500  8 Zn 3.05-3.06, 2 Ca 3.09, 2 Rh 3.09

***

VASP calculation (PBE) on crystalline Ca2Zn3Rh2 at its relaxed geometry.

## Properties
Formation energy = -307.9 kJ/mol of formula units
Final energy = -3.674 eV per atom
Symmetry = C2/m, No. 12

Cell lengths 4.1740, 5.5498, 7.0557 Å; angles 113.53, 90.00, 112.09 degrees
Closest atoms and distances in Å follow each position.
Fractional coordinates of all 7 atoms:
Ca 0.8599 0.7198 0.2261  4 Rh 2.91-3.06, 3 Zn 3.11-3.21
Ca 0.1401 0.2802 0.7739  4 Rh 2.91-3.06, 3 Zn 3.11-3.21
Zn 0.5000 0.0000 0.0000  4 Rh 2.57, 2 Zn 2.76
Zn 0.6468 0.2937 0.4319  3 Rh 2.59-2.62, 3 Zn 2.76-2.83
Zn 0.3532 0.7063 0.5681  3 Rh 2.59-2.62, 3 Zn 2.76-2.83
Rh 0.8648 0.7296 0.7982  5 Zn 2.57-2.62
Rh 0.1352 0.2704 0.2018  5 Zn 2.57-2.62

***

VASP calculation (PBE) on crystalline CaZn5Rh2 at its relaxed geometry.

## Properties
Formation energy = -232.8 kJ/mol of formula units
Final energy = -3.186 eV per atom
Symmetry = Immm, No. 71

Cell lengths 3.9769, 6.4265, 6.4265 Å; angles 70.93, 71.98, 71.98 degrees
Closest atoms and distances in Å follow each position.
Fractional coordinates of all 8 atoms:
Ca 0.0000 0.0000 0.0000  4 Rh 3.10, 8 Zn 3.44
Zn 0.0000 0.5000 0.5000  2 Rh 2.47
Zn 0.6559 0.5272 0.1611  3 Rh 2.52-2.60, 1 Zn 2.73
Zn 0.3441 0.4728 0.8389  3 Rh 2.52-2.60, 1 Zn 2.73
Zn 0.3441 0.8389 0.4728  3 Rh 2.52-2.60, 1 Zn 2.73
Zn 0.6559 0.1611 0.5272  3 Rh 2.52-2.60, 1 Zn 2.73
Rh 0.7450 0.7550 0.7550  7 Zn 2.47-2.60
Rh 0.2550 0.2450 0.2450  7 Zn 2.47-2.60

***

VASP calculation (PBE) on crystalline CaZn2Rh at its relaxed geometry.

## Properties
Formation energy = -73.9 kJ/mol of formula units
Final energy = -3.167 eV per atom
Symmetry = Imm2, No. 44

Cell lengths 5.2152, 5.2152, 5.2152 Å; angles 139.31, 128.35, 67.75 degrees
Closest atoms and distances in Å follow each position.
Fractional coordinates of all 4 atoms:
Zn 0.0070 0.0070 0.0000  2 Rh 2.62, 2 Zn 2.73, 4 Ca 2.91
Zn 0.7716 0.2716 0.5000  2 Zn 2.73, 4 Rh 2.93, 4 Ca 2.99-3.00
Rh 0.2257 0.7257 0.5000  6 Zn 2.62-2.93
Ca 0.4957 0.4957 0.0000  8 Zn 2.91-3.00, 4 Rh 2.96-3.02

***

VASP calculation (PBE) on crystalline CaZn2Rh at its relaxed geometry.

## Properties
Formation energy = -102.6 kJ/mol of formula units
Final energy = -3.241 eV per atom
Symmetry = Fm-3m, No. 225

Cell lengths 4.6227, 4.6227, 4.6227 Å; angles 60.00, 60.00, 60.00 degrees
Closest atoms and distances in Å follow each position.
Fractional coordinates of all 4 atoms:
Zn 0.2500 0.2500 0.2500  4 Rh 2.83, 4 Ca 2.83
Zn 0.7500 0.7500 0.7500  4 Rh 2.83, 4 Ca 2.83
Rh 0.5000 0.5000 0.5000  8 Zn 2.83
Ca 0.0000 0.0000 0.0000  8 Zn 2.83

***

VASP calculation (PBE) on crystalline CaZn4Rh at its relaxed geometry.

## Properties
Polymorph energy (0 for the lowest one) = 0.00 eV per formula unit
Formation energy = -180.4 kJ/mol of formula units
Final energy = -2.720 eV per atom
Symmetry = Pmma, No. 51

Cell lengths 4.0674, 6.9963, 7.8168 Å; angles 90.00, 90.00, 90.00 degrees
Closest atoms and distances in Å follow each position.
Fractional coordinates of all 12 atoms:
Ca 0.0000 0.6201 0.7500  1 Rh 2.85, 2 Zn 3.18
Ca 0.0000 0.3799 0.2500  1 Rh 2.85, 2 Zn 3.18
Zn 0.0000 0.0000 0.5000  2 Rh 2.46
Zn 0.0000 0.0000 0.0000  2 Rh 2.46
Zn 0.5000 0.9701 0.7500  2 Rh 2.65, 6 Zn 2.83
Zn 0.5000 0.0299 0.2500  2 Rh 2.65, 6 Zn 2.83
Zn 0.5000 0.6837 0.0617  2 Rh 2.61, 2 Zn 2.75-2.83
Zn 0.5000 0.3163 0.9383  2 Rh 2.61, 2 Zn 2.75-2.83
Zn 0.5000 0.6837 0.4383  2 Rh 2.61, 2 Zn 2.75-2.83
Zn 0.5000 0.3163 0.5617  2 Rh 2.61, 2 Zn 2.75-2.83
Rh 0.0000 0.2128 0.7500  8 Zn 2.46-2.65
Rh 0.0000 0.7872 0.2500  8 Zn 2.46-2.65

***

VASP calculation (PBE) on crystalline Ca3Zn2Rh2 at its relaxed geometry.

## Properties
Formation energy = -305.6 kJ/mol of formula units
Final energy = -3.775 eV per atom
Symmetry = Pbcm, No. 57

Cell lengths 5.6995, 7.8129, 13.9547 Å; angles 90.00, 90.00, 90.00 degrees
Closest atoms and distances in Å follow each position.
Fractional coordinates of all 28 atoms:
Ca 0.1446 0.6029 0.0949  4 Rh 2.94-3.09, 3 Zn 3.14-3.21
Ca 0.8554 0.3971 0.5949  4 Rh 2.94-3.09, 3 Zn 3.14-3.21
Ca 0.8554 0.1029 0.4051  4 Rh 2.94-3.09, 3 Zn 3.14-3.21
Ca 0.1446 0.8971 0.9051  4 Rh 2.94-3.09, 3 Zn 3.14-3.21
Ca 0.8554 0.3971 0.9051  4 Rh 2.94-3.09, 3 Zn 3.14-3.21
Ca 0.1446 0.6029 0.4051  4 Rh 2.94-3.09, 3 Zn 3.14-3.21
Ca 0.1446 0.8971 0.5949  4 Rh 2.94-3.09, 3 Zn 3.14-3.21
Ca 0.8554 0.1029 0.0949  4 Rh 2.94-3.09, 3 Zn 3.14-3.21
Ca 0.3776 0.2470 0.2500  3 Zn 2.98-3.24, 4 Rh 3.10-3.17
Ca 0.6224 0.7530 0.7500  3 Zn 2.98-3.24, 4 Rh 3.10-3.17
Ca 0.6224 0.7470 0.2500  3 Zn 2.98-3.24, 4 Rh 3.10-3.17
Ca 0.3776 0.2530 0.7500  3 Zn 2.98-3.24, 4 Rh 3.10-3.17
Zn 0.3827 0.2500 0.0000  4 Rh 2.57-2.61
Zn 0.6173 0.7500 0.5000  4 Rh 2.57-2.61
Zn 0.6173 0.7500 0.0000  4 Rh 2.57-2.61
Zn 0.3827 0.2500 0.5000  4 Rh 2.57-2.61
Zn 0.8526 0.4051 0.2500  2 Rh 2.53
Zn 0.1474 0.5949 0.7500  2 Rh 2.53
Zn 0.1474 0.9051 0.2500  2 Rh 2.53
Zn 0.8526 0.0949 0.7500  2 Rh 2.53
Rh 0.6445 0.4670 0.0933  3 Zn 2.53-2.61
Rh 0.3555 0.5330 0.5933  3 Zn 2.53-2.61
Rh 0.3555 0.9670 0.4067  3 Zn 2.53-2.61
Rh 0.6445 0.0330 0.9067  3 Zn 2.53-2.61
Rh 0.3555 0.5330 0.9067  3 Zn 2.53-2.61
Rh 0.6445 0.4670 0.4067  3 Zn 2.53-2.61
Rh 0.6445 0.0330 0.5933  3 Zn 2.53-2.61
Rh 0.3555 0.9670 0.0933  3 Zn 2.53-2.61

***

VASP calculation (PBE) on crystalline CaZnRh4 at its relaxed geometry.

## Properties
Formation energy = -87.3 kJ/mol of formula units
Final energy = -5.598 eV per atom
Symmetry = F-43m, No. 216

Cell lengths 5.2293, 5.2293, 5.2293 Å; angles 60.00, 60.00, 60.00 degrees
Closest atoms and distances in Å follow each position.
Fractional coordinates of all 6 atoms:
Ca 0.0000 0.0000 0.0000  12 Rh 3.07, 4 Zn 3.20
Zn 0.7500 0.7500 0.7500  12 Rh 3.06, 4 Ca 3.20
Rh 0.8734 0.3755 0.3755  6 Rh 2.60-2.63
Rh 0.3755 0.3755 0.8734  6 Rh 2.60-2.63
Rh 0.3755 0.8734 0.3755  6 Rh 2.60-2.63
Rh 0.3755 0.3755 0.3755  6 Rh 2.60-2.63